No. 1
# KIrPb2

An optimized crystal structure of KIrPb2 (PBE, Alexandria via LeMat-Bulk).

abc: 3.520 5.167 7.072
angles: 90.00 104.16 90.00
Fractional coordinates of all 4 atoms:
1 K 0.000 0.000 0.000
2 Ir 0.331 0.500 0.666
3 Pb 0.280 0.000 0.550
4 Pb 0.677 0.500 0.350

Calculated values
For the total energy, the calculation gives -16.020 eV/cell. For the spin magnetization, the calculation gives 0.000 μB per atom.

No. 2
# KIrPb2

An optimized crystal structure of KIrPb2 (PBE, Alexandria via LeMat-Bulk).

abc: 4.533 4.533 7.328
angles: 107.89 107.89 59.93
Fractional coordinates of all 4 atoms:
1 K 0.000 0.000 0.000
2 Ir 0.500 0.500 0.500
3 Pb 0.217 0.217 0.653
4 Pb 0.783 0.783 0.347

Calculated values
For the total energy, the calculation gives -17.016 eV/cell. For the spin magnetization, the calculation gives 0.000 μB per atom.

No. 3
# K2IrPb

An optimized crystal structure of K2IrPb (PBE, Alexandria via LeMat-Bulk).

abc: 12.279 12.279 12.279
angles: 159.73 159.73 28.82
Fractional coordinates of all 8 atoms:
1 K 0.111 0.625 0.986
2 K 0.375 0.361 0.486
3 K 0.639 0.125 0.014
4 K 0.875 0.889 0.514
5 Ir 0.000 0.000 0.000
6 Ir 0.750 0.250 0.500
7 Pb 0.250 0.750 0.500
8 Pb 0.500 0.500 0.000

Calculated values
For the total energy, the calculation gives -24.066 eV/cell. For the spin magnetization, the calculation gives 0.000 μB per atom.

No. 4
# K2IrPb

An optimized crystal structure of K2IrPb (PBE, Alexandria via LeMat-Bulk).

abc: 5.315 5.315 5.315
angles: 60.00 60.00 60.00
Fractional coordinates of all 4 atoms:
1 K 0.000 0.000 0.000
2 K 0.250 0.250 0.250
3 Ir 0.750 0.750 0.750
4 Pb 0.500 0.500 0.500

Calculated values
For the total energy, the calculation gives -12.692 eV/cell. For the spin magnetization, the calculation gives 0.000 μB per atom.

No. 5
# KIrPb2

An optimized crystal structure of KIrPb2 (PBE, Alexandria via LeMat-Bulk).

abc: 9.096 9.096 9.096
angles: 137.57 137.57 61.56
Fractional coordinates of all 8 atoms:
1 K 0.000 0.000 0.000
2 K 0.750 0.250 0.500
3 Ir 0.250 0.750 0.500
4 Ir 0.500 0.500 0.000
5 Pb 0.307 0.625 0.182
6 Pb 0.375 0.557 0.682
7 Pb 0.443 0.125 0.818
8 Pb 0.875 0.693 0.318

Calculated values
For the total energy, the calculation gives -32.381 eV/cell. For the spin magnetization, the calculation gives 0.000 μB per atom.

No. 6
# KIrPb2

An optimized crystal structure of KIrPb2 (PBE, Alexandria via LeMat-Bulk).

abc: 3.835 3.835 8.605
angles: 90.00 90.00 90.00
Fractional coordinates of all 4 atoms:
1 K 0.000 0.000 0.000
2 Ir 0.500 0.500 0.618
3 Pb 0.000 0.000 0.605
4 Pb 0.500 0.500 0.301

Calculated values
For the total energy, the calculation gives -16.317 eV/cell. For the spin magnetization, the calculation gives 0.000 μB per atom.

No. 7
# K2IrPb

An optimized crystal structure of K2IrPb (PBE, Alexandria via LeMat-Bulk).

abc: 5.197 4.823 7.661
angles: 90.00 109.48 90.00
Fractional coordinates of all 4 atoms:
1 K 0.135 0.000 0.272
2 K 0.865 0.000 0.728
3 Ir 0.000 0.500 0.000
4 Pb 0.500 0.500 0.000

Calculated values
For the total energy, the calculation gives -13.242 eV/cell. For the spin magnetization, the calculation gives 0.000 μB per atom.

No. 8
# KIrPb2

An optimized crystal structure of KIrPb2 (PBE, Alexandria via LeMat-Bulk).

abc: 5.105 5.105 5.105
angles: 60.00 60.00 60.00
Fractional coordinates of all 4 atoms:
1 K 0.000 0.000 0.000
2 Ir 0.500 0.500 0.500
3 Pb 0.250 0.250 0.250
4 Pb 0.750 0.750 0.750

Calculated values
For the total energy, the calculation gives -16.061 eV/cell. For the spin magnetization, the calculation gives 0.000 μB per atom.

What is the total energy in the fifth record? -32.381 eV/cell

Please write out number 2 again, unchanged.
# KIrPb2

An optimized crystal structure of KIrPb2 (PBE, Alexandria via LeMat-Bulk).

abc: 4.533 4.533 7.328
angles: 107.89 107.89 59.93
Fractional coordinates of all 4 atoms:
1 K 0.000 0.000 0.000
2 Ir 0.500 0.500 0.500
3 Pb 0.217 0.217 0.653
4 Pb 0.783 0.783 0.347

Calculated values
For the total energy, the calculation gives -17.016 eV/cell. For the spin magnetization, the calculation gives 0.000 μB per atom.